1.
4
Lattice="-2.215 2.215 4.520 2.215 -2.215 4.520 2.215 2.215 -4.520" Properties=species:S:1:pos:R:3 comment="meta-GGA SCAN Cd2InHg, PBEsol geometry" relative_energy_ev_per_atom=0.019 spacegroup="I-4m2 (119)" crystal_system=tetragonal formation_enthalpy_0k_mev_per_atom=37 rho_g_cm3=10.11 energy_ev_per_atom=-40.558 pbc="T T T"
Cd 0.000 0.000 0.000
Cd 0.000 2.215 2.260
In 2.215 0.000 2.260
Hg 0.000 0.000 4.520

***

2.
4
Lattice="2.811 0.000 0.000 0.000 3.503 0.000 0.000 0.000 6.184" Properties=species:S:1:pos:R:3 comment="meta-GGA SCAN CdPRu2, PBEsol geometry" spacegroup="Pmm2 (25)" crystal_system=orthorhombic formation_enthalpy_0k_mev_per_atom=132 rho_g_cm3=9.42 energy_ev_per_atom=-27.484 pbc="T T T"
Cd 0.000 0.000 0.000
P 1.406 1.752 2.137
Ru 0.000 0.000 2.918
Ru 1.406 1.752 4.477

***

3.
4
Lattice="0.000 3.896 3.896 3.896 0.000 3.896 3.896 3.896 0.000" Properties=species:S:1:pos:R:3 comment="meta-GGA SCAN Ca2BiPb, PBEsol geometry" spacegroup="Fm-3m (225)" crystal_system=cubic formation_enthalpy_0k_mev_per_atom=-749 rho_g_cm3=6.97 energy_ev_per_atom=-44.171 pbc="T T T"
Ca 1.948 1.948 1.948
Ca 5.844 5.844 5.844
Bi 0.000 0.000 0.000
Pb 3.896 3.896 3.896

***

4.
5
Lattice="6.185 0.000 0.000 0.000 6.185 0.000 0.000 0.000 4.849" Properties=species:S:1:pos:R:3 comment="meta-GGA SCAN KInRhI2, PBEsol geometry" spacegroup="P4/mmm (123)" crystal_system=tetragonal formation_energy_uncorrected_mev_per_atom=459 rho_g_cm3=4.57 energy_ev_per_atom=-29.335 pbc="T T T"
K 0.000 0.000 0.000
In 3.093 3.093 2.424
Rh 0.000 0.000 2.424
I 0.000 3.093 0.000
I 3.093 0.000 0.000

***

5.
6
Lattice="5.477 0.000 0.000 -2.739 4.743 0.000 0.000 0.000 2.973" Properties=species:S:1:pos:R:3 comment="meta-GGA SCAN CeB2Ru3, PBEsol geometry" spacegroup="P6/mmm (191)" crystal_system=hexagonal formation_enthalpy_0k_mev_per_atom=-566 rho_g_cm3=10.00 energy_ev_per_atom=-27.883 pbc="T T T"
Ce 0.000 0.000 0.000
B 0.000 3.162 0.000
B 2.739 1.581 0.000
Ru -1.369 2.372 1.486
Ru 2.739 0.000 1.486
Ru 1.369 2.372 1.486

***

6.
4
Lattice="0.000 3.128 3.128 3.128 0.000 3.128 3.128 3.128 0.000" Properties=species:S:1:pos:R:3 comment="meta-GGA SCAN LuZnRh2, PBEsol geometry" spacegroup="Fm-3m (225)" crystal_system=cubic formation_enthalpy_0k_mev_per_atom=-830 rho_g_cm3=12.10 energy_ev_per_atom=-34.931 pbc="T T T"
Lu 0.000 0.000 0.000
Zn 3.128 3.128 3.128
Rh 1.564 1.564 1.564
Rh 4.692 4.692 4.692

***

7.
4
Lattice="4.590 0.000 0.000 0.000 4.590 0.000 0.000 0.000 2.811" Properties=species:S:1:pos:R:3 comment="meta-GGA SCAN CdRuRh2, PBEsol geometry" spacegroup="P4/mmm (123)" crystal_system=tetragonal formation_enthalpy_0k_mev_per_atom=240 rho_g_cm3=11.76 energy_ev_per_atom=-32.956 pbc="T T T"
Cd 0.000 0.000 0.000
Ru 2.295 2.295 0.000
Rh 0.000 2.295 1.406
Rh 2.295 0.000 1.406

***

8.
4
Lattice="4.266 0.000 0.000 0.000 4.266 0.000 0.000 0.000 5.898" Properties=species:S:1:pos:R:3 comment="meta-GGA SCAN AgSnTe2, PBEsol geometry" spacegroup="P4/mmm (123)" crystal_system=tetragonal formation_energy_uncorrected_mev_per_atom=-78 rho_g_cm3=7.45 energy_ev_per_atom=-35.525 pbc="T T T"
Ag 0.000 0.000 0.000
Sn 2.133 2.133 2.949
Te 0.000 0.000 2.949
Te 2.133 2.133 0.000

***

9.
5
Lattice="5.878 0.000 0.000 0.000 5.878 0.000 0.000 0.000 5.728" Properties=species:S:1:pos:R:3 comment="meta-GGA SCAN YZnIn2Pb, PBEsol geometry" spacegroup="P4/mmm (123)" crystal_system=tetragonal formation_enthalpy_0k_mev_per_atom=680 rho_g_cm3=4.96 energy_ev_per_atom=-36.102 pbc="T T T"
Y 0.000 0.000 0.000
Zn 2.939 2.939 2.864
In 0.000 2.939 0.000
In 2.939 0.000 0.000
Pb 0.000 0.000 2.864

***

10.
5
Lattice="5.177 0.000 0.000 0.000 5.177 0.000 0.000 0.000 3.420" Properties=species:S:1:pos:R:3 comment="meta-GGA SCAN MnNbTe2N, PBEsol geometry" spacegroup="P4/mmm (123)" crystal_system=tetragonal formation_energy_uncorrected_mev_per_atom=247 rho_g_cm3=7.55 energy_ev_per_atom=-26.788 pbc="T T T"
Mn 0.000 0.000 0.000
Nb 2.589 2.589 1.710
Te 0.000 2.589 0.000
Te 2.589 0.000 0.000
N 0.000 0.000 1.710

***

11.
8
Lattice="4.259 0.000 0.000 0.000 4.259 0.000 0.000 0.000 9.663" Properties=species:S:1:pos:R:3 comment="meta-GGA SCAN TbCuSb2, PBEsol geometry" spacegroup="P4/nmm (129)" crystal_system=tetragonal formation_energy_uncorrected_mev_per_atom=-695 rho_g_cm3=8.83 energy_ev_per_atom=-34.816 pbc="T T T"
Tb 1.065 1.065 2.406
Tb 3.194 3.194 7.257
Cu 1.065 3.194 0.000
Cu 3.194 1.065 0.000
Sb 1.065 1.065 8.110
Sb 1.065 3.194 4.831
Sb 3.194 1.065 4.831
Sb 3.194 3.194 1.553

***

12.
4
Lattice="2.824 0.000 0.000 0.000 2.824 0.000 0.000 0.000 5.635" Properties=species:S:1:pos:R:3 comment="meta-GGA SCAN Mn2AlCo, PBEsol geometry" relative_energy_ev_per_atom=0.070 spacegroup="P4mm (99)" crystal_system=tetragonal formation_enthalpy_0k_mev_per_atom=-386 rho_g_cm3=7.23 energy_ev_per_atom=-15.777 pbc="T T T"
Mn 0.000 0.000 0.000
Mn 1.412 1.412 1.251
Al 0.000 0.000 2.827
Co 1.412 1.412 4.228